Li4Cu3 (PBE-GGA, optimized geometry); E_tot = -2.852 eV per atom; ΔH_f (0 K) = 0.00 eV per atom
1.0
-0.8099 -0.7969 -2.3957
1.0514 -2.3938 0.4408
-12.3501 -2.7485 6.5569
Li Cu
4 3
Direct
0.8462 0.8462 0.6924 Li
0.1538 0.1538 0.3076 Li
0.4331 0.4331 0.8661 Li
0.5669 0.5669 0.1339 Li
0.7199 0.7199 0.4397 Cu
0.0000 0.0000 0.0000 Cu
0.2801 0.2801 0.5603 Cu

LiCu6 (PBE-GGA, optimized geometry); ΔE to the lowest computed polymorph = 0.0 kJ per mole of atoms; E_tot = -3.718 eV per atom; ΔH_f (0 K) = 0.07 eV per atom
1.0
-2.4432 4.0490 -0.9141
-2.0462 -2.8238 -7.0390
-8.1235 -4.0059 3.9684
Cu Li
24 4
Direct
0.0064 0.4387 0.1918 Cu
0.0064 0.9387 0.3082 Cu
0.2500 0.8124 0.7612 Cu
0.2500 0.3124 0.7388 Cu
0.5064 0.5613 0.8082 Cu
0.2500 0.5594 0.5843 Cu
0.9936 0.5613 0.8082 Cu
0.4936 0.9387 0.3082 Cu
0.4936 0.4387 0.1918 Cu
0.2500 0.8879 0.5196 Cu
0.7500 0.4406 0.4157 Cu
0.9936 0.0613 0.6918 Cu
0.7500 0.1121 0.4804 Cu
0.7500 0.9406 0.0843 Cu
0.7500 0.8525 0.8488 Cu
0.2500 0.6475 0.3488 Cu
0.7500 0.6121 0.0196 Cu
0.2500 0.3879 0.9804 Cu
0.7500 0.6876 0.2612 Cu
0.7500 0.1876 0.2388 Cu
0.2500 0.0594 0.9157 Cu
0.2500 0.1475 0.1512 Cu
0.5064 0.0613 0.6918 Cu
0.7500 0.3525 0.6512 Cu
0.2500 0.7552 0.0660 Li
0.7500 0.7448 0.5660 Li
0.7500 0.2448 0.9340 Li
0.2500 0.2552 0.4340 Li

Li3Cu2 (PBE-GGA, optimized geometry); ΔE to the lowest computed polymorph = 6.4 kJ per mole of atoms; E_tot = -2.749 eV per atom; ΔH_f (0 K) = 0.04 eV per atom
1.0
10.9450 -0.0964 -0.0562
10.6336 2.5940 -0.0562
10.6336 1.2308 2.2841
Li Cu
3 2
Direct
0.0000 0.0000 0.0000 Li
0.2052 0.2052 0.2052 Li
0.7948 0.7948 0.7948 Li
0.3975 0.3975 0.3975 Cu
0.6025 0.6025 0.6025 Cu

Li2LuCu (PBE-GGA, optimized geometry); E_tot = -2.825 eV per atom; ΔH_f (0 K) = 0.29 eV per atom
1.0
3.0519 0.0000 0.0000
1.5259 2.6430 0.0000
1.5259 0.8810 9.9883
Li Cu Lu
2 1 1
Direct
0.8992 0.8992 0.3024 Li
0.1008 0.1008 0.6976 Li
0.5000 0.5000 0.5000 Cu
0.0000 0.0000 0.0000 Lu

LiLuCu2 (PBE-GGA, optimized geometry); ΔE to the lowest computed polymorph = 0.4 kJ per mole of atoms; E_tot = -3.777 eV per atom; ΔH_f (0 K) = -0.12 eV per atom
1.0
-1.2201 3.0597 -0.3386
0.3212 -0.2357 -3.2873
-5.5753 -2.2655 -0.3823
Cu Li Lu
2 1 1
Direct
0.0000 0.0000 0.2138 Cu
0.0000 0.0000 0.7862 Cu
0.5000 0.5000 0.0000 Li
0.5000 0.5000 0.5000 Lu

LiLuCu2 (PBE-GGA, optimized geometry); ΔE to the lowest computed polymorph = 0.0 kJ per mole of atoms; E_tot = -3.782 eV per atom; ΔH_f (0 K) = -0.12 eV per atom
1.0
4.2478 0.0000 0.0000
2.1239 3.6787 0.0000
2.1239 1.2262 4.3614
Cu Li Lu
2 1 1
Direct
0.2117 0.2117 0.3648 Cu
0.7883 0.7883 0.6352 Cu
0.5000 0.5000 0.5000 Li
0.0000 0.0000 0.0000 Lu

Which of these has the lowest E_tot?
number 6

The lowest E_tot belongs to which entry?
number 6

Number 2 is which compound?
LiCu6